Record 1
VASP calculation (PBE) on Pu3Co2 after structural relaxation.

```
Pu3Co2
1.0
0.3998 4.6732 1.9807
-4.2855 -1.4056 -2.3624
-0.9967 -0.3115 7.4797
Co Pu
4 6
Direct
0.3054 0.6946 0.0837
0.1946 0.8054 0.4163
0.8054 0.1946 0.5837
0.6946 0.3054 0.9163
0.2500 0.2053 0.2500
0.7500 0.7947 0.7500
0.7947 0.2947 0.2500
0.2947 0.2500 0.7500
0.7053 0.7500 0.2500
0.2053 0.7053 0.7500
```

Results
E_form: 0.022 eV per atom

Record 2
VASP calculation (PBE) on TaRe after structural relaxation.

```
TaRe
1.0
-1.0500 0.6106 -2.5390
-1.7355 -0.4548 2.1684
0.1195 4.7229 1.0863
Re Ta
1 1
Direct
0.6667 0.3333 0.7500
0.3333 0.6667 0.2500
```

Results
E_form: 0.271 eV per atom

Record 3
VASP calculation (PBE) on SmGd2O3 after structural relaxation.

```
SmGd2O3
1.0
3.4468 0.0000 0.0000
-1.7234 2.9850 0.0000
0.0000 0.0000 8.4898
O Sm Gd
3 1 2
Direct
0.0000 0.0000 0.0000
0.3333 0.6667 0.6793
0.6667 0.3333 0.3207
0.0000 0.0000 0.5000
0.3333 0.6667 0.1656
0.6667 0.3333 0.8344
```

Results
Electronic total energy: -7.600 eV per atom

Record 4
VASP calculation (PBE) on CsK2Li2ReO6 after structural relaxation.

```
CsK2Li2ReO6
1.0
-2.2488 5.0593 1.3810
-1.1117 -4.4951 3.3344
5.7601 1.1282 2.1655
Cs O K Re Li
1 6 2 1 2
Direct
0.5000 0.5000 0.5000
0.0539 0.3391 0.1629
0.1919 0.1919 0.7963
0.3391 0.0539 0.1629
0.9461 0.6609 0.8371
0.6609 0.9461 0.8371
0.8081 0.8081 0.2037
0.8248 0.1752 0.5000
0.1752 0.8248 0.5000
0.0000 0.0000 0.0000
0.6990 0.3010 0.0000
0.3010 0.6990 0.0000
```

Results
Electronic total energy: -5.699 eV per atom

Record 5
VASP calculation (PBE) on NaLuCoBi after structural relaxation.

```
NaLuCoBi
1.0
3.3725 1.5235 3.0514
-0.2934 -1.1219 4.6541
3.0930 -3.1274 1.9126
Na Lu Bi Co
1 1 1 1
Direct
0.7500 0.7500 0.7500
0.5000 0.5000 0.5000
0.0000 0.0000 0.0000
0.2500 0.2500 0.2500
```

Results
Electronic total energy: -4.252 eV per atom

Record 6
VASP calculation (PBE) on ErLu6Te2Pd2 after structural relaxation.

```
ErLu6Te2Pd2
1.0
-1.9473 7.6685 4.7411
1.9473 -7.6685 4.7411
1.9473 7.6685 -4.7411
Lu Te Pd Er
6 2 2 1
Direct
0.7138 0.5829 0.1309
0.0896 0.7336 0.3560
0.3776 0.7336 0.6440
0.6897 0.3731 0.3166
0.0564 0.3731 0.6834
0.4520 0.5829 0.8691
0.3388 0.3388 0.0000
0.7330 0.2330 0.5000
0.8317 0.0681 0.7636
0.3045 0.0681 0.2364
0.9995 0.9995 0.0000
```

Results
Electronic total energy: -5.242 eV per atom

Record 7
VASP calculation (PBE) on GdY2Sn5Pb2 after structural relaxation.

```
GdY2Sn5Pb2
1.0
-2.1962 8.2191 10.5066
-2.2143 -8.7590 -10.0569
0.7052 -3.4143 2.8184
Y Pb Sn Gd
2 2 5 1
Direct
0.3124 0.6876 0.0000
0.6876 0.3124 0.0000
0.7911 0.2089 0.5000
0.2089 0.7911 0.5000
0.9042 0.0958 0.0000
0.5000 0.5000 0.0000
0.5962 0.4038 0.5000
0.0958 0.9042 0.0000
0.4038 0.5962 0.5000
0.0000 0.0000 0.5000
```

Results
Electronic total energy: -4.985 eV per atom

Record 8
VASP calculation (PBE) on Hf4ZnAsN2 after structural relaxation.

```
Hf4ZnAsN2
1.0
-1.3326 1.5519 2.6004
2.1915 -2.4336 0.4706
9.7172 8.7086 -0.2176
As Hf N Zn
1 4 2 1
Direct
0.0000 0.0000 0.0000
0.0000 0.0000 0.6676
0.0000 0.0000 0.3324
0.6667 0.3333 0.1466
0.6667 0.3333 0.8534
0.3333 0.6667 0.7578
0.3333 0.6667 0.2422
0.6667 0.3333 0.5000
```

Results
Electronic total energy: -8.920 eV per atom

Record 9
VASP calculation (PBE) on Co3Ni2Sn3 after structural relaxation.

```
Co3Ni2Sn3
1.0
5.8889 0.0000 0.0000
-2.9444 5.0999 0.0000
0.0000 0.0000 3.9968
Co Ni Sn
3 2 3
Direct
0.1883 0.8117 0.0000
0.6234 0.8117 0.0000
0.1883 0.3766 0.0000
0.6667 0.3333 0.0000
0.3333 0.6667 0.5000
0.8353 0.1648 0.5000
0.8353 0.6705 0.5000
0.3295 0.1648 0.5000
```

Results
Electronic total energy: -5.353 eV per atom

Record 10
VASP calculation (PBE) on MgTaTcGe after structural relaxation.

```
MgTaTcGe
1.0
0.0000 3.1807 3.1807
3.1807 0.0000 3.1807
3.1807 3.1807 0.0000
Mg Ta Tc Ge
1 1 1 1
Direct
0.7500 0.7500 0.7500
0.2500 0.2500 0.2500
0.5000 0.5000 0.5000
0.0000 0.0000 0.0000
```

Results
Electronic total energy: -7.101 eV per atom

Record 11
VASP calculation (PBE) on Nd3ThP4 after structural relaxation.

```
Nd3ThP4
1.0
-4.9917 5.0691 -1.1112
2.0708 -2.7531 -6.3229
-2.9887 -2.8825 0.2763
Th P Nd
1 4 3
Direct
0.0000 0.0000 0.0000
0.2477 0.7523 0.0000
0.2466 0.2466 0.5000
0.7523 0.2477 0.0000
0.7534 0.7534 0.5000
0.5000 0.5000 0.0000
0.5000 0.0000 0.5000
0.0000 0.5000 0.5000
```

Results
Electronic total energy: -6.990 eV per atom

Record 12
VASP calculation (PBE) on PrZnRe after structural relaxation.

```
PrZnRe
1.0
0.0000 3.2296 3.2296
3.2296 0.0000 3.2296
3.2296 3.2296 0.0000
Zn Re Pr
1 1 1
Direct
0.0000 0.0000 0.0000
0.7500 0.7500 0.7500
0.2500 0.2500 0.2500
```

Results
E_form: 0.763 eV per atom

Record 13
VASP calculation (PBE) on MgInFeNi after structural relaxation.

```
MgInFeNi
1.0
0.0000 3.0740 3.0740
3.0740 0.0000 3.0740
3.0740 3.0740 0.0000
Fe Mg Ni In
1 1 1 1
Direct
0.2500 0.2500 0.2500
0.5000 0.5000 0.5000
0.7500 0.7500 0.7500
0.0000 0.0000 0.0000
```

Results
Electronic total energy: -4.456 eV per atom

Record 14
VASP calculation (PBE) on BaBeNi3 after structural relaxation.

```
BaBeNi3
1.0
-3.9355 -3.0645 2.5646
2.3001 -0.2823 5.1074
-2.8581 4.1411 2.4777
Ni Be Ba
6 2 2
Direct
0.4728 0.7500 0.0272
0.2500 0.9728 0.5272
0.0272 0.4728 0.7500
0.5272 0.2500 0.9728
0.9728 0.5272 0.2500
0.7500 0.0272 0.4728
0.2500 0.2500 0.2500
0.7500 0.7500 0.7500
0.5000 0.5000 0.5000
0.0000 0.0000 0.0000
```

Results
Electronic total energy: -3.753 eV per atom

Record 15
VASP calculation (PBE) on LiLa2H6Os after structural relaxation.

```
LiLa2H6Os
1.0
-2.4691 -4.5399 1.7549
3.2366 -3.0421 -3.3157
7.4312 3.9137 3.6632
La H Li Os
4 12 2 2
Direct
0.2500 0.5018 0.7501
0.2500 0.9982 0.2501
0.7500 0.0018 0.7499
0.7500 0.4982 0.2499
0.7265 0.7712 0.9977
0.2615 0.4946 0.2626
0.7294 0.2708 0.5011
0.2706 0.7708 0.9989
0.7385 0.5054 0.7374
0.2615 0.0054 0.7626
0.7294 0.2292 0.0011
0.7385 0.9946 0.2374
0.2735 0.2288 0.0023
0.7265 0.7288 0.4977
0.2735 0.2712 0.5023
0.2706 0.7292 0.4989
0.0000 0.0000 0.5000
0.0000 0.5000 0.0000
0.5000 0.0000 0.0000
0.5000 0.5000 0.5000
```

Results
Electronic total energy: -4.697 eV per atom

Record 16
VASP calculation (PBE) on TbCo3 after structural relaxation.

```
TbCo3
1.0
0.0000 3.0726 3.0726
3.0726 0.0000 3.0726
3.0726 3.0726 0.0000
Tb Co
1 3
Direct
0.7500 0.7500 0.7500
0.2500 0.2500 0.2500
0.0000 0.0000 0.0000
0.5000 0.5000 0.5000
```

Results
E_form: 0.224 eV per atom

Record 17
VASP calculation (PBE) on SmZnPd2Pt2 after structural relaxation.

```
SmZnPd2Pt2
1.0
2.7433 -4.4023 0.0000
2.7433 4.4023 0.0000
0.0000 0.0000 4.4833
Zn Pt Sm Pd
1 2 1 2
Direct
0.5000 0.5000 0.5000
0.0000 0.5000 0.5000
0.5000 0.0000 0.5000
0.0000 0.0000 0.0000
0.6639 0.3361 0.0000
0.3361 0.6639 0.0000
```

Results
E_form: -0.765 eV per atom

Record 18
VASP calculation (PBE) on Sr2LiAgH6 after structural relaxation.

```
Sr2LiAgH6
1.0
-3.2532 -3.4353 -2.7534
-5.3317 1.1183 -0.5375
-2.0133 1.4549 -4.8781
Li H Sr Ag
1 6 2 1
Direct
0.5000 0.5000 0.5000
0.2570 0.7430 0.2570
0.7430 0.2570 0.7430
0.2570 0.2570 0.7430
0.2570 0.7430 0.7430
0.7430 0.2570 0.2570
0.7430 0.7430 0.2570
0.7500 0.7500 0.7500
0.2500 0.2500 0.2500
0.0000 0.0000 0.0000
```

Results
Electronic total energy: -3.183 eV per atom

Record 19
VASP calculation (PBE) on Mg3Pd after structural relaxation.

```
Mg3Pd
1.0
5.1604 -2.9794 0.0000
-0.0001 5.9587 0.0000
0.0000 0.0000 4.7713
Mg Pd
6 2
Direct
0.3214 0.1607 0.5000
0.8393 0.6786 0.5000
0.8393 0.1607 0.5000
0.0120 0.5060 0.0000
0.4940 0.9880 0.0000
0.4940 0.5060 0.0000
0.3333 0.6667 0.5000
0.0000 0.0000 0.0000
```

Results
Electronic total energy: -2.844 eV per atom

Record 20
VASP calculation (PBE) on TaBeSi after structural relaxation.

```
TaBeSi
1.0
0.0000 2.9228 2.9228
2.9228 0.0000 2.9228
2.9228 2.9228 0.0000
Ta Si Be
1 1 1
Direct
0.0000 0.0000 0.0000
0.7500 0.7500 0.7500
0.2500 0.2500 0.2500
```

Results
Electronic total energy: -6.410 eV per atom